1.
Ac6Os2AuCl3, relaxed, DFT PBE-GGA; E_form (uncorrected) = -1002.8 meV per atom; raw total energy = -68.0 eV/cell
1.0
-5.932 3.060 3.677
-0.441 -7.105 -2.719
4.899 -1.504 6.596
Ac Os Au Cl
6 2 1 3
Direct
0.933 0.577 0.795
0.709 0.709 0.204
0.067 0.423 0.205
0.577 0.933 0.795
0.291 0.291 0.796
0.423 0.067 0.205
0.334 0.666 0.000
0.666 0.334 0.000
0.000 0.000 0.000
0.178 0.822 0.500
0.822 0.178 0.500
0.500 0.500 0.500



2.
Pm2TlAu3, relaxed, DFT PBE-GGA; raw total energy = -51.0 eV/cell; energy relative to the elements = -633 meV/atom
1.0
-4.801 -2.464 2.597
4.570 -3.819 0.635
2.175 6.818 5.680
Pm Tl Au
4 2 6
Direct
0.250 0.750 0.500
0.758 0.758 0.000
0.750 0.250 0.500
0.242 0.242 0.000
0.666 0.666 0.332
0.334 0.334 0.668
0.330 0.834 0.165
0.166 0.670 0.835
0.670 0.166 0.835
0.834 0.330 0.165
0.166 0.166 0.333
0.834 0.834 0.667



3.
SrScBr2, relaxed, DFT PBE-GGA; E_form (uncorrected) = -342.8 meV per atom; raw total energy = -12.7 eV/cell
1.0
5.668 0.000 0.000
2.834 4.909 0.000
2.834 1.636 4.628
Br Sc Sr
2 1 1
Direct
0.000 0.000 0.000
0.250 0.250 0.250
0.500 0.500 0.500
0.750 0.750 0.750



4.
Er3Mg12Ag, relaxed, DFT PBE-GGA; raw total energy = -36.7 eV/cell; energy relative to the elements = -62 meV/atom
1.0
4.615 0.000 0.000
0.000 4.615 0.000
0.000 0.000 17.898
Er Mg Ag
3 12 1
Direct
0.000 0.000 0.235
0.000 0.000 0.500
0.000 0.000 0.765
0.500 0.500 0.000
0.500 0.500 0.231
0.500 0.500 0.500
0.500 0.500 0.769
0.500 0.000 0.106
0.500 0.000 0.367
0.500 0.000 0.633
0.500 0.000 0.894
0.000 0.500 0.106
0.000 0.500 0.367
0.000 0.500 0.633
0.000 0.500 0.894
0.000 0.000 0.000



5.
ZrCoNi4, relaxed, DFT PBE-GGA; raw total energy = -78.7 eV/cell; energy relative to the elements = -96 meV/atom
1.0
4.705 0.051 -1.025
-0.511 5.629 -2.066
-0.711 -0.930 6.406
Zr Co Ni
2 2 8
Direct
0.152 0.217 0.434
0.848 0.783 0.566
0.746 0.527 0.053
0.254 0.473 0.947
0.746 0.318 0.637
0.550 0.309 0.224
0.000 0.194 0.000
0.450 0.085 0.776
0.254 0.682 0.363
0.450 0.691 0.776
0.000 0.806 0.000
0.550 0.915 0.224



6.
SmBPRh3, relaxed, DFT PBE-GGA; raw total energy = -86.9 eV/cell; energy relative to the elements = -762 meV/atom
1.0
5.687 0.000 0.000
0.000 5.775 0.000
0.000 -2.888 5.825
Sm B P Rh
2 2 2 6
Direct
0.750 0.262 0.523
0.250 0.738 0.477
0.250 0.009 0.018
0.750 0.991 0.982
0.250 0.381 0.762
0.750 0.619 0.238
0.250 0.189 0.377
0.000 0.259 0.000
0.500 0.741 0.000
0.500 0.259 0.000
0.000 0.741 0.000
0.750 0.811 0.623



7.
YAgSn, relaxed, DFT PBE-GGA; raw total energy = -29.2 eV/cell; energy relative to the elements = -434 meV/atom
1.0
4.435 -0.001 0.000
2.251 7.223 0.000
0.000 0.000 4.495
Y Sn Ag
2 2 2
Direct
0.635 0.085 0.862
0.946 0.461 0.862
0.131 0.094 0.362
0.450 0.452 0.362
0.791 0.773 0.362
0.291 0.773 0.862



8.
Pr2Y6HoTm, relaxed, DFT PBE-GGA; raw total energy = -112.5 eV/cell; energy relative to the elements = 112 meV/atom
1.0
9.292 -2.175 -2.257
0.689 8.532 -1.986
0.689 -2.301 8.452
Pr Y Ho Tm
4 12 2 2
Direct
0.455 0.806 0.706
0.045 0.294 0.194
0.545 0.194 0.294
0.955 0.706 0.806
0.057 0.124 0.745
0.443 0.255 0.876
0.943 0.876 0.255
0.557 0.745 0.124
0.313 0.981 0.423
0.187 0.577 0.019
0.687 0.019 0.577
0.813 0.423 0.981
0.117 0.705 0.497
0.383 0.503 0.295
0.883 0.295 0.503
0.617 0.497 0.705
0.250 0.983 0.017
0.750 0.017 0.983
0.250 0.406 0.594
0.750 0.594 0.406



9.
CaCo5, relaxed, DFT PBE-GGA; raw total energy = -36.2 eV/cell; energy relative to the elements = 219 meV/atom
1.0
0.000 3.437 3.437
3.437 0.000 3.437
3.437 3.437 0.000
Ca Co
1 5
Direct
0.000 0.000 0.000
0.750 0.750 0.750
0.874 0.375 0.375
0.375 0.874 0.375
0.375 0.375 0.874
0.375 0.375 0.375



10.
LaDyPt, relaxed, DFT PBE-GGA; raw total energy = -17.8 eV/cell; energy relative to the elements = -755 meV/atom
1.0
4.184 0.000 0.000
-2.092 3.623 0.000
0.000 0.000 6.370
La Pt Dy
1 1 1
Direct
0.000 0.000 0.083
0.667 0.333 0.346
0.333 0.667 0.571



11.
LiY4Os, relaxed, DFT PBE-GGA; raw total energy = -33.5 eV/cell; energy relative to the elements = 912 meV/atom
1.0
-4.591 3.226 2.340
-1.855 5.090 -2.759
-5.376 0.134 -2.835
Li Y Os
1 4 1
Direct
0.750 0.750 0.750
0.881 0.373 0.373
0.373 0.373 0.881
0.373 0.881 0.373
0.373 0.373 0.373
0.000 0.000 0.000



12.
PaMn4P12, relaxed, DFT PBE-GGA; raw total energy = -119.5 eV/cell; energy relative to the elements = -497 meV/atom
1.0
-2.901 -3.293 -5.225
6.141 2.298 -1.888
0.693 -4.270 5.277
Pa Mn P
1 4 12
Direct
0.000 0.000 0.000
0.000 0.500 0.000
0.500 0.000 0.000
0.500 0.500 0.500
0.000 0.000 0.500
0.852 0.350 0.201
0.350 0.498 0.148
0.799 0.148 0.650
0.350 0.201 0.852
0.201 0.852 0.350
0.650 0.502 0.852
0.498 0.148 0.350
0.502 0.852 0.650
0.650 0.799 0.148
0.852 0.650 0.502
0.148 0.350 0.498
0.148 0.650 0.799